The following is a DFT calculation (PBE-GGA) of an optimized crystal structure of Cs2AuCl3.

Output
Mass density = 3.950 g/cm3
Energy above the most stable polymorph in this dataset = 12 meV/atom
Formation energy without anion corrections = -1.31 eV per atom

Unit cell a=12.555 b=8.267 c=9.222 alpha=90.00 beta=90.00 gamma=90.00
Space group Cmcm (No. 63)
Symmetry-distinct sites (fractional):
Cs  0.183  0.000  0.000
Au  0.000  0.473  0.250
Cl  0.000  0.186  0.250
Cl  0.150  0.315  0.750